Record 1
Compound: MgSiCl2
Source: Alexandria
Functional: SCAN
Structure: single point on PBEsol structure

a = 5.546 Å, b = 5.546 Å, c = 5.397 Å
α = 102.36°, β = 102.36°, γ = 32.88°
Atoms (fractional coordinates):
Mg (0.000, 0.000, 0.000)
Si (0.322, 0.322, 0.613)
Cl (0.467, 0.467, 0.360)
Cl (0.671, 0.671, 0.986)

Values from the calculation:
* formation energy without anion corrections: -0.678 eV/atom
* DOS(E_F): 0.1999 states/eV/atom
* magnetic moment: 0.00 μB per atom
* total energy: -8.41 eV per atom
* distance to the lowest polymorph of the same formula: 0.000 eV per atom

---

Record 2
Compound: MgSiCl2
Source: Alexandria
Functional: SCAN
Structure: single point on PBEsol structure

a = 5.791 Å, b = 5.791 Å, c = 5.239 Å
α = 101.67°, β = 101.67°, γ = 31.62°
Atoms (fractional coordinates):
Mg (0.000, 0.000, 0.000)
Si (0.500, 0.500, 0.500)
Cl (0.342, 0.342, 0.789)
Cl (0.658, 0.658, 0.211)

Values from the calculation:
* formation energy without anion corrections: -0.640 eV/atom
* DOS(E_F): 0.1940 states/eV/atom
* magnetic moment: 0.00 μB per atom
* total energy: -8.38 eV per atom
* distance to the lowest polymorph of the same formula: 0.038 eV per atom

---

Record 3
Compound: MgSiCl4
Source: Alexandria
Functional: SCAN
Structure: single point on PBEsol structure

a = 5.726 Å, b = 5.726 Å, c = 5.726 Å
α = 60.00°, β = 60.00°, γ = 60.00°
Atoms (fractional coordinates):
Mg (0.000, 0.000, 0.000)
Si (0.250, 0.250, 0.250)
Cl (0.123, 0.626, 0.626)
Cl (0.626, 0.123, 0.626)
Cl (0.626, 0.626, 0.123)
Cl (0.626, 0.626, 0.626)

Values from the calculation:
* formation energy without anion corrections: 0.529 eV/atom
* DOS(E_F): 0.6353 states/eV/atom
* magnetic moment: 0.23 μB per atom
* total energy: -7.29 eV per atom

---

Record 4
Compound: MgSiCl
Source: Alexandria
Functional: SCAN
Structure: single point on PBEsol structure

a = 3.193 Å, b = 3.193 Å, c = 7.377 Å
α = 90.00°, β = 90.00°, γ = 120.00°
Atoms (fractional coordinates):
Mg (0.000, 0.000, 0.000)
Si (0.333, 0.667, 0.697)
Cl (0.667, 0.333, 0.211)

Values from the calculation:
* formation energy without anion corrections: -0.365 eV/atom
* DOS(E_F): 0.4265 states/eV/atom
* magnetic moment: 0.00 μB per atom
* total energy: -8.02 eV per atom

---

Record 5
Compound: MgSiCl2
Source: Alexandria
Functional: SCAN
Structure: single point on PBEsol structure

a = 3.148 Å, b = 3.148 Å, c = 7.867 Å
α = 90.00°, β = 90.00°, γ = 90.00°
Atoms (fractional coordinates):
Mg (0.000, 0.000, 0.000)
Si (0.500, 0.500, 0.237)
Cl (0.000, 0.000, 0.442)
Cl (0.500, 0.500, 0.831)

Values from the calculation:
* formation energy without anion corrections: -0.515 eV/atom
* DOS(E_F): 0.1644 states/eV/atom
* magnetic moment: 0.00 μB per atom
* total energy: -8.25 eV per atom
* distance to the lowest polymorph of the same formula: 0.163 eV per atom

---

Record 6
Compound: Mg2SiCl
Source: Alexandria
Functional: SCAN
Structure: single point on PBEsol structure

a = 6.340 Å, b = 6.340 Å, c = 6.340 Å
α = 145.08°, β = 145.08°, γ = 50.21°
Atoms (fractional coordinates):
Mg (0.000, 0.000, 0.000)
Mg (0.750, 0.250, 0.500)
Si (0.500, 0.500, 0.000)
Cl (0.250, 0.750, 0.500)

Values from the calculation:
* formation energy without anion corrections: -0.098 eV/atom
* DOS(E_F): 0.4642 states/eV/atom
* magnetic moment: 0.00 μB per atom
* total energy: -7.08 eV per atom

---

Record 7
Compound: MgSiCl
Source: Alexandria
Functional: SCAN
Structure: single point on PBEsol structure

a = 4.640 Å, b = 4.640 Å, c = 4.640 Å
α = 60.00°, β = 60.00°, γ = 60.00°
Atoms (fractional coordinates):
Mg (0.000, 0.000, 0.000)
Si (0.250, 0.250, 0.250)
Cl (0.750, 0.750, 0.750)

Values from the calculation:
* formation energy without anion corrections: 0.374 eV/atom
* DOS(E_F): 0.9638 states/eV/atom
* magnetic moment: 0.50 μB per atom
* total energy: -7.28 eV per atom

---

Record 8
Compound: Mg2SnCl
Source: Alexandria
Functional: SCAN
Structure: single point on PBEsol structure

a = 5.043 Å, b = 5.043 Å, c = 5.043 Å
α = 60.00°, β = 60.00°, γ = 60.00°
Atoms (fractional coordinates):
Mg (0.250, 0.250, 0.250)
Mg (0.750, 0.750, 0.750)
Sn (0.000, 0.000, 0.000)
Cl (0.500, 0.500, 0.500)

Values from the calculation:
* formation energy without anion corrections: -0.263 eV/atom
* DOS(E_F): 1.0606 states/eV/atom
* magnetic moment: 0.00 μB per atom
* total energy: -13.72 eV per atom